The following is a DFT calculation (PBE) of a geometry-optimized Er2Tm6Fe structure.

Lattice parameters (Å, degrees): 9.5216 9.5216 3.4298 90.00 90.00 123.22
Atoms (fractional coordinates):
Er  0.1798  0.8202  0.0000
Er  0.8202  0.1798  0.0000
Tm  0.1685  0.4869  0.5000
Tm  0.2203  0.2203  0.0000
Tm  0.4869  0.1685  0.5000
Tm  0.5131  0.8315  0.5000
Tm  0.7797  0.7797  0.0000
Tm  0.8315  0.5131  0.5000
Fe  0.5000  0.5000  0.5000

## Properties
ΔE_f = 0.22 eV/atom